Compound: Na2GeI5
Source: Alexandria
Functional: PBE
Structure: relaxed

a b c (Å): 8.2770 8.2770 14.2138
angles (deg): 90.00 90.00 136.26
Element x y z (fractional)
Na1 0.1777 0.8223 0.5708
Na2 0.1777 0.8223 0.9292
Na3 0.8223 0.1777 0.0708
Na4 0.8223 0.1777 0.4292
Ge1 0.1774 0.8226 0.2500
Ge2 0.8226 0.1774 0.7500
I1 0.0517 0.9483 0.1059
I2 0.0517 0.9483 0.3941
I3 0.3062 0.6938 0.7500
I4 0.3169 0.6831 0.1057
I5 0.3169 0.6831 0.3943
I6 0.6831 0.3169 0.6057
I7 0.6831 0.3169 0.8943
I8 0.6938 0.3062 0.2500
I9 0.9483 0.0517 0.6059
I10 0.9483 0.0517 0.8941

Calculated values
DFT total energy = -2.541 eV/atom
Formation energy from raw total energies = -0.6655 eV/atom
Density of states at the Fermi level = 0.39 states/eV/atom
Calculated volume = 42.078 Å³ per atom